Material: Ho6C2N3O
Method: DFT, GGA-PBE
State: optimized geometry Values from VASP.

M_tot: 0.000 μB/f.u.
Energy relative to the elements, uncorrected: -1.44 eV/atom

Geometry as Quantum ESPRESSO input:
```
&SYSTEM
  ibrav = 0, nat = 12, ntyp = 4
/
ATOMIC_SPECIES
Ho 164.93 Ho.upf
C 12.01 C.upf
N 14.01 N.upf
O 16.00 O.upf
CELL_PARAMETERS angstrom
7.6299 -1.7291 0.0000
7.6299 1.7291 0.0000
-1.6051 0.0000 6.8090
ATOMIC_POSITIONS angstrom
Ho 14.8694 0.0000 1.6522
Ho -1.2146 0.0000 5.1568
Ho 4.4008 0.0000 2.8621
Ho 3.6227 0.0000 6.2144
Ho 10.0321 0.0000 0.5946
Ho 9.2540 0.0000 3.9469
C 1.1681 0.0000 5.6348
C 12.4867 0.0000 1.1741
N 1.9624 0.0000 2.2848
N 7.6299 0.0000 0.0000
N 11.6924 0.0000 4.5242
O 6.8274 0.0000 3.4045
```

---

Material: FeHgBr2
Method: DFT, GGA-PBE
State: optimized geometry Values from VASP.

M_tot: 3.312 μB/f.u.
Energy above the lowest structure with this stoichiometry: 2.144 eV per formula unit
Energy relative to the elements, uncorrected: 0.34 eV/atom

Geometry as Quantum ESPRESSO input:
```
&SYSTEM
  ibrav = 0, nat = 8, ntyp = 3
/
ATOMIC_SPECIES
Fe 55.84 Fe.upf
Hg 200.59 Hg.upf
Br 79.90 Br.upf
CELL_PARAMETERS angstrom
8.0350 0.0000 0.0000
0.0000 8.0118 0.0000
-1.1279 0.0000 3.5752
ATOMIC_POSITIONS angstrom
Fe 0.0000 0.0000 0.0000
Fe 4.0175 4.0059 0.0000
Hg 0.0000 4.0059 0.0000
Hg 4.0175 0.0000 0.0000
Br 2.0088 2.0029 0.0000
Br 2.0088 6.0088 0.0000
Br 6.0263 2.0029 0.0000
Br 6.0263 6.0088 0.0000
```

---

Material: SbOsRu2
Method: DFT, GGA-PBE
State: optimized geometry Values from VASP.

M_tot: 0.023 μB/f.u.
Energy relative to the elements, uncorrected: 0.87 eV/atom

Geometry as Quantum ESPRESSO input:
```
&SYSTEM
  ibrav = 0, nat = 8, ntyp = 3
/
ATOMIC_SPECIES
Sb 121.76 Sb.upf
Os 190.23 Os.upf
Ru 101.07 Ru.upf
CELL_PARAMETERS angstrom
2.8548 0.0000 0.0000
0.0000 4.9673 0.0000
0.0000 0.0000 9.3784
ATOMIC_POSITIONS angstrom
Sb 0.0000 0.0000 0.0000
Sb 1.4274 2.4837 0.0000
Os 0.0000 2.4837 6.8088
Os 1.4274 0.0000 6.8088
Ru 0.0000 0.0000 4.6415
Ru 0.0000 2.4837 2.4410
Ru 1.4274 0.0000 2.4410
Ru 1.4274 2.4837 4.6415
```

---

Material: Pm4Sb6Rh7
Method: DFT, GGA-PBE
State: optimized geometry Values from VASP.

M_tot: 0.000 μB/f.u.
Energy relative to the elements, uncorrected: -0.87 eV/atom

Geometry as Quantum ESPRESSO input:
```
&SYSTEM
  ibrav = 0, nat = 17, ntyp = 3
/
ATOMIC_SPECIES
Pm 145.00 Pm.upf
Sb 121.76 Sb.upf
Rh 102.91 Rh.upf
CELL_PARAMETERS angstrom
-4.4456 4.4456 4.4456
4.4456 -4.4456 4.4456
4.4456 4.4456 -4.4456
ATOMIC_POSITIONS angstrom
Pm 2.2228 2.2228 -2.2228
Pm 2.2228 -2.2228 2.2228
Pm -2.2228 2.2228 2.2228
Pm 2.2228 2.2228 2.2228
Sb 2.8409 0.0000 0.0000
Sb 6.0504 0.0000 0.0000
Sb 0.0000 2.8409 0.0000
Sb 0.0000 0.0000 2.8409
Sb 0.0000 6.0504 0.0000
Sb 0.0000 0.0000 6.0504
Rh 0.0000 0.0000 0.0000
Rh 4.4456 2.2228 0.0000
Rh 4.4456 0.0000 2.2228
Rh 2.2228 4.4456 0.0000
Rh 2.2228 0.0000 4.4456
Rh 0.0000 4.4456 2.2228
Rh 0.0000 2.2228 4.4456
```

---

How do the records compare in energy? In the order shown, they have -93.2 -21.5 -60.8 -110.0 eV for the cell shown.